Entry 1:
# TlZnN2 PBE-GGA relaxed
data_TlZnN2
_space_group_name_H-M_alt 'P 1'
_space_group_IT_number 1
_space_group_name_Hall 'P 1'
_cell_length_a 4.1548
_cell_length_b 4.1548
_cell_length_c 4.1548
_cell_angle_alpha 60.00
_cell_angle_beta 60.00
_cell_angle_gamma 60.00
loop_
_atom_site_label
_atom_site_type_symbol
_atom_site_fract_x
_atom_site_fract_y
_atom_site_fract_z
_atom_site_occupancy
Tl1 Tl 0.5000 0.5000 0.5000 1
Zn1 Zn 0.0000 0.0000 0.0000 1
N1 N 0.2500 0.2500 0.2500 1
N2 N 0.7500 0.7500 0.7500 1
# VASP energy = -13.84 eV per formula unit
# Energy above the lowest structure with this stoichiometry = 3.309 eV per formula unit
# E_form (uncorrected) = 622 kJ/mol of formula units
# Volume = 50.71 Å³/cell
# Density of states at the Fermi level = 0.39 states/eV per atom

Entry 2:
# Na17Tl11Pt PBE-GGA relaxed
data_Na17Tl11Pt
_space_group_name_H-M_alt 'P 1'
_space_group_IT_number 1
_space_group_name_Hall 'P 1'
_cell_length_a 10.3701
_cell_length_b 10.3701
_cell_length_c 10.2413
_cell_angle_alpha 109.49
_cell_angle_beta 109.49
_cell_angle_gamma 110.48
loop_
_atom_site_label
_atom_site_type_symbol
_atom_site_fract_x
_atom_site_fract_y
_atom_site_fract_z
_atom_site_occupancy
Na1 Na 0.9824 0.9824 0.3385 1
Na2 Na 0.6508 0.6508 0.2596 1
Na3 Na 0.6608 0.6608 0.6605 1
Na4 Na 0.4093 0.4093 0.7204 1
Na5 Na 0.0100 0.0100 0.0099 1
Na6 Na 0.3036 0.5856 0.0023 1
Na7 Na 0.4152 0.7099 0.4001 1
Na8 Na 0.0060 0.3145 0.5889 1
Na9 Na 0.0115 0.3370 0.0071 1
Na10 Na 0.2788 0.6972 0.6908 1
Na11 Na 0.5907 0.0019 0.3069 1
Na12 Na 0.0019 0.5907 0.3069 1
Na13 Na 0.6972 0.2788 0.6908 1
Na14 Na 0.3370 0.0115 0.0071 1
Na15 Na 0.3145 0.0060 0.5889 1
Na16 Na 0.7099 0.4152 0.4001 1
Na17 Na 0.5856 0.3036 0.0023 1
Tl1 Tl 0.2105 0.2105 0.8501 1
Tl2 Tl 0.6132 0.8044 0.9963 1
Tl3 Tl 0.2035 0.3900 0.3743 1
Tl4 Tl 0.8155 0.0020 0.6156 1
Tl5 Tl 0.6291 0.0035 0.8113 1
Tl6 Tl 0.8189 0.1981 0.1970 1
Tl7 Tl 0.1981 0.8189 0.1970 1
Tl8 Tl 0.0035 0.6291 0.8113 1
Tl9 Tl 0.0020 0.8155 0.6156 1
Tl10 Tl 0.3900 0.2035 0.3743 1
Tl11 Tl 0.8044 0.6132 0.9963 1
Pt1 Pt 0.3459 0.3459 0.1800 1
# VASP energy = -57.53 eV per formula unit
# Energy of formation = -0.105 eV per atom
# Volume = 836.63 Å³/cell
# Density of states at the Fermi level = 0.52 states/eV per atom

Entry 3:
# PaSe3 PBE-GGA relaxed
data_PaSe3
_space_group_name_H-M_alt 'P 1'
_space_group_IT_number 1
_space_group_name_Hall 'P 1'
_cell_length_a 7.7430
_cell_length_b 7.7430
_cell_length_c 7.7528
_cell_angle_alpha 60.04
_cell_angle_beta 60.04
_cell_angle_gamma 60.00
loop_
_atom_site_label
_atom_site_type_symbol
_atom_site_fract_x
_atom_site_fract_y
_atom_site_fract_z
_atom_site_occupancy
Pa1 Pa 0.0000 0.0000 0.0000 1
Pa2 Pa 0.5000 0.5000 0.5000 1
Se1 Se 0.7500 0.2520 0.7500 1
Se2 Se 0.2520 0.2480 0.7500 1
Se3 Se 0.2480 0.7500 0.7500 1
Se4 Se 0.2500 0.7480 0.2500 1
Se5 Se 0.7480 0.7520 0.2500 1
Se6 Se 0.7520 0.2500 0.2500 1
# VASP energy = -23.51 eV per formula unit
# E_form (uncorrected) = -343 kJ/mol of formula units
# Volume = 328.88 Å³/cell
# Density of states at the Fermi level = 0.51 states/eV per atom

Which value of VASP energy does entry 2 give?
-57.53 eV per formula unit

The lowest VASP energy belongs to which entry?
Na17Tl11Pt